DFT (PBE) results for a relaxed structure of TbSi2OsRh.

Values from the calculation:
DOS at the Fermi energy = 1.86 states/eV/cell
Uncorrected formation energy = -0.9467 eV/atom
Calculated total energy = -38.79 eV per formula unit
Crystal system = tetragonal
Magnetic moment = 0.00 μB/f.u.

Lattice parameters (Å, degrees): 4.139 4.139 5.700 111.29 111.29 90.00
Fractional positions:
Tb: 0.000 0.000 0.000
Si: 0.627 0.627 0.253
Si: 0.373 0.373 0.747
Os: 0.750 0.250 0.500
Rh: 0.250 0.750 0.500


DFT (PBE) results for a relaxed structure of ThSi2OsRh.

Values from the calculation:
DOS at the Fermi energy = 1.64 states/eV/cell
Uncorrected formation energy = -0.9486 eV/atom
Calculated total energy = -41.59 eV per formula unit
Crystal system = tetragonal
Magnetic moment = 0.00 μB/f.u.

Lattice parameters (Å, degrees): 4.176 4.176 5.805 111.08 111.08 90.00
Fractional positions:
Th: 0.000 0.000 0.000
Si: 0.627 0.627 0.254
Si: 0.373 0.373 0.746
Os: 0.250 0.750 0.500
Rh: 0.750 0.250 0.500


DFT (PBE) results for a relaxed structure of Th2Si4OsRh3.

Values from the calculation:
DOS at the Fermi energy = 6.65 states/eV/cell
Uncorrected formation energy = -1.0026 eV/atom
Calculated total energy = -79.84 eV per formula unit
Crystal system = tetragonal
Magnetic moment = 0.00 μB/f.u.

Lattice parameters (Å, degrees): 4.213 4.213 9.828 90.00 90.00 90.00
Fractional positions:
Th: 0.500 0.000 0.246
Th: 0.000 0.500 0.754
Si: 0.500 0.500 0.000
Si: 0.000 0.000 0.000
Si: 0.500 0.000 0.626
Si: 0.000 0.500 0.374
Os: 0.500 0.500 0.500
Rh: 0.000 0.000 0.500
Rh: 0.500 0.000 0.874
Rh: 0.000 0.500 0.126


DFT (PBE) results for a relaxed structure of TiSiOsRh.

Values from the calculation:
DOS at the Fermi energy = 4.34 states/eV/cell
Uncorrected formation energy = -0.6496 eV/atom
Calculated total energy = -34.50 eV per formula unit
Crystal system = cubic
Magnetic moment = 0.00 μB/f.u.

Lattice parameters (Å, degrees): 4.285 4.285 4.285 60.00 60.00 60.00
Fractional positions:
Rh: 0.000 0.000 0.000
Si: 0.750 0.750 0.750
Os: 0.500 0.500 0.500
Ti: 0.250 0.250 0.250